(1)
Material: CuBC
Method: DFT, PBE-GGA
State: optimized geometry

Output
Density of states at the Fermi level = 0.8 states/eV per cell
E = -0.2290 Ha/atom
Calculated formation energy = 1.3 eV/f.u.
Spin magnetization = 0.00 μB/cell

Cell lengths 3.7373, 3.9208, 3.9831 Å; angles 98.75, 90.53, 95.41 degrees
Last column: nearest neighbours and their distance in Å.
Space group P1 (No. 1)
Symmetry-distinct sites (fractional):
1 Cu 0.0000 0.0000 0.0000  4 C 2.06-2.12
2 Cu 0.4992 0.9995 0.4976  4 B 2.12-2.17
3 B 0.4965 0.4723 0.2770  2 C 1.62, 1 B 1.73
4 B 0.5004 0.5267 0.7162  2 C 1.61-1.62, 1 B 1.73
5 C 0.1919 0.5083 0.9974  1 C 1.44
6 C 0.8049 0.4910 0.9955  1 C 1.44, 1 B 1.61

=====

(2)
Material: CuB3C
Method: DFT, PBE-GGA
State: optimized geometry

Output
Density of states at the Fermi level = 2.9 states/eV per cell
E = -0.1473 Ha/atom
Calculated formation energy = 13.3 eV/f.u.
Energy relative to the lowest polymorph listed for this composition = 950 meV/atom
Spin magnetization = 0.00 μB/cell

Cell lengths 3.7704, 3.7704, 3.7704 Å; angles 90.00, 90.00, 90.00 degrees
Last column: nearest neighbours and their distance in Å.
Space group Pm-3m (No. 221)
Symmetry-distinct sites (fractional):
1 Cu 0.0000 0.0000 0.0000  6 B 1.89
2 B 0.0000 0.0000 0.5000  2 Cu 1.89
3 C 0.5000 0.5000 0.5000  12 B 2.67

=====

(3)
Material: CuBC
Method: DFT, PBE-GGA
State: optimized geometry

Output
Density of states at the Fermi level = 1.9 states/eV per cell
E = -0.2191 Ha/atom
Calculated formation energy = 2.1 eV/f.u.
Spin magnetization = 0.00 μB/cell

Cell lengths 4.2934, 4.2947, 4.6602 Å; angles 65.28, 89.92, 60.02 degrees
Last column: nearest neighbours and their distance in Å.
Space group P-1 (No. 2)
Symmetry-distinct sites (fractional):
1 Cu 0.2025 0.0934 0.1427  2 C 2.00-2.04, 2 B 2.18-2.19
2 B 0.3095 0.4995 0.5003  2 C 1.55, 1 B 1.64
3 C 0.0074 0.4858 0.3326  2 B 1.55, 1 C 1.61

=====

(4)
Material: CuGeBC2
Method: DFT, PBE-GGA
State: optimized geometry

Output
Density of states at the Fermi level = 2.7 states/eV per cell
E = -0.1489 Ha/atom
Calculated formation energy = 13.6 eV/f.u.
Spin magnetization = 0.00 μB/cell

Cell lengths 3.7446, 3.7446, 5.0394 Å; angles 90.00, 90.00, 90.00 degrees
Last column: nearest neighbours and their distance in Å.
Space group P4/mmm (No. 123)
Symmetry-distinct sites (fractional):
1 Cu 0.0000 0.0000 0.0000  2 Ge 2.52, 4 B 2.65
2 Ge 0.0000 0.0000 0.5000  4 C 1.87
3 B 0.5000 0.5000 0.0000  4 Cu 2.65
4 C 0.0000 0.5000 0.5000  2 Ge 1.87

=====

(5)
Material: HfCuBC2
Method: DFT, PBE-GGA
State: optimized geometry

Output
Density of states at the Fermi level = 3.9 states/eV per cell
E = -0.1934 Ha/atom
Calculated formation energy = 12.9 eV/f.u.
Energy relative to the lowest polymorph listed for this composition = 1056 meV/atom
Spin magnetization = 0.00 μB/cell

Cell lengths 4.1962, 4.1962, 5.1901 Å; angles 90.00, 90.00, 90.00 degrees
Last column: nearest neighbours and their distance in Å.
Space group P4/mmm (No. 123)
Symmetry-distinct sites (fractional):
1 Hf 0.0000 0.0000 0.0000  4 C 2.10
2 Cu 0.0000 0.0000 0.5000  2 Hf 2.60
3 B 0.5000 0.5000 0.5000  4 Cu 2.97
4 C 0.0000 0.5000 0.0000  2 Hf 2.10

=====

(6)
Material: HfCuBC2
Method: DFT, PBE-GGA
State: optimized geometry

Output
Density of states at the Fermi level = 1.6 states/eV per cell
E = -0.2322 Ha/atom
Calculated formation energy = 7.6 eV/f.u.
Energy relative to the lowest polymorph listed for this composition = 0 meV/atom
Spin magnetization = 0.00 μB/cell

Cell lengths 3.5477, 3.5477, 4.3658 Å; angles 90.00, 90.00, 90.00 degrees
Last column: nearest neighbours and their distance in Å.
Space group P4/mmm (No. 123)
Symmetry-distinct sites (fractional):
1 Hf 0.0000 0.0000 0.0000  2 B 2.18
2 Cu 0.5000 0.5000 0.0000  4 Hf 2.51
3 B 0.0000 0.0000 0.5000  4 C 1.77
4 C 0.0000 0.5000 0.5000  2 B 1.77

=====

(7)
Material: CuHgB2C
Method: DFT, PBE-GGA
State: optimized geometry

Output
Density of states at the Fermi level = 2.8 states/eV per cell
E = -0.0923 Ha/atom
Calculated formation energy = 14.4 eV/f.u.
Spin magnetization = 1.42 μB/cell

Cell lengths 4.1328, 4.1328, 5.0326 Å; angles 90.00, 90.00, 90.00 degrees
Last column: nearest neighbours and their distance in Å.
Space group P4/mmm (No. 123)
Symmetry-distinct sites (fractional):
1 Cu 0.0000 0.0000 0.0000  2 Hg 2.52
2 Hg 0.0000 0.0000 0.5000  4 B 2.07
3 B 0.0000 0.5000 0.5000  2 Hg 2.07
4 C 0.5000 0.5000 0.0000  4 Cu 2.92, 8 B 3.26

=====

(8)
Material: LuCu2B2C
Method: DFT, PBE-GGA
State: optimized geometry

Output
Density of states at the Fermi level = 3.8 states/eV per cell
E = -0.2263 Ha/atom
Calculated formation energy = -1.7 eV/f.u.
Spin magnetization = 0.00 μB/cell

Cell lengths 4.9252, 4.9209, 6.0463 Å; angles 90.00, 113.79, 90.00 degrees
Last column: nearest neighbours and their distance in Å.
Space group C2/m (No. 12)
Symmetry-distinct sites (fractional):
1 Lu 0.0000 0.0000 0.0000  4 C 2.46
2 Cu 0.0000 0.2497 0.5000  4 B 2.18
3 B 0.1325 0.5000 0.2636  1 C 1.46
4 C 0.0000 0.5000 0.0000  2 B 1.46

=====

(9)
Material: CuBPb2C
Method: DFT, PBE-GGA
State: optimized geometry

Output
Density of states at the Fermi level = 1.6 states/eV per cell
E = -0.1817 Ha/atom
Calculated formation energy = 2.7 eV/f.u.
Spin magnetization = 0.00 μB/cell

Cell lengths 5.4998, 5.4998, 2.9489 Å; angles 90.00, 90.00, 90.00 degrees
Last column: nearest neighbours and their distance in Å.
Space group P4/mmm (No. 123)
Symmetry-distinct sites (fractional):
1 Cu 0.0000 0.0000 0.0000  2 Cu 2.95, 8 Pb 3.12
2 B 0.5000 0.5000 0.0000  2 C 1.47
3 Pb 0.0000 0.5000 0.5000  2 C 2.75, 2 Pb 2.95
4 C 0.5000 0.5000 0.5000  2 B 1.47

=====

(10)
Material: CuReB2C
Method: DFT, PBE-GGA
State: optimized geometry

Output
Density of states at the Fermi level = 2.8 states/eV per cell
E = -0.2339 Ha/atom
Calculated formation energy = 7.3 eV/f.u.
Spin magnetization = 0.00 μB/cell

Cell lengths 3.5439, 3.5439, 3.9717 Å; angles 90.00, 90.00, 90.00 degrees
Last column: nearest neighbours and their distance in Å.
Space group P4/mmm (No. 123)
Symmetry-distinct sites (fractional):
1 Cu 0.0000 0.0000 0.0000  4 Re 2.51, 8 B 2.66
2 Re 0.5000 0.5000 0.0000  2 C 1.99
3 B 0.0000 0.5000 0.5000  2 C 1.77
4 C 0.5000 0.5000 0.5000  4 B 1.77

=====

(11)
Material: Sc2CuBC
Method: DFT, PBE-GGA
State: optimized geometry

Output
Density of states at the Fermi level = 2.3 states/eV per cell
E = -0.2490 Ha/atom
Calculated formation energy = -1.2 eV/f.u.
Spin magnetization = 0.00 μB/cell

Cell lengths 4.7008, 4.7008, 3.0178 Å; angles 90.00, 90.00, 90.00 degrees
Last column: nearest neighbours and their distance in Å.
Space group P4/mmm (No. 123)
Symmetry-distinct sites (fractional):
1 Sc 0.0000 0.5000 0.0000  2 C 2.35
2 Cu 0.0000 0.0000 0.5000  8 Sc 2.79, 2 Cu 3.02
3 B 0.5000 0.5000 0.5000  2 C 1.51
4 C 0.5000 0.5000 0.0000  2 B 1.51

=====

(12)
Material: CuSnB2C
Method: DFT, PBE-GGA
State: optimized geometry

Output
Density of states at the Fermi level = 2.8 states/eV per cell
E = -0.1289 Ha/atom
Calculated formation energy = 13.1 eV/f.u.
Spin magnetization = 0.04 μB/cell

Cell lengths 4.4925, 4.4925, 4.2889 Å; angles 90.00, 90.00, 90.00 degrees
Last column: nearest neighbours and their distance in Å.
Space group P4/mmm (No. 123)
Symmetry-distinct sites (fractional):
1 Cu 0.0000 0.0000 0.0000  8 B 3.11, 4 C 3.18
2 Sn 0.5000 0.5000 0.5000  2 C 2.14, 4 B 2.25
3 B 0.0000 0.5000 0.5000  2 Sn 2.25
4 C 0.5000 0.5000 0.0000  2 Sn 2.14

=====

(13)
Material: TlCuBC2
Method: DFT, PBE-GGA
State: optimized geometry

Output
Density of states at the Fermi level = 1.9 states/eV per cell
E = -0.1083 Ha/atom
Calculated formation energy = 16.9 eV/f.u.
Spin magnetization = 0.80 μB/cell

Cell lengths 4.4533, 4.4533, 4.4587 Å; angles 90.00, 90.00, 90.00 degrees
Last column: nearest neighbours and their distance in Å.
Space group P4/mmm (No. 123)
Symmetry-distinct sites (fractional):
1 Tl 0.0000 0.0000 0.0000  4 C 2.23, 2 B 2.23
2 Cu 0.5000 0.5000 0.5000  4 B 3.15, 8 C 3.15
3 B 0.0000 0.0000 0.5000  2 Tl 2.23
4 C 0.0000 0.5000 0.0000  2 Tl 2.23

=====

(14)
Material: DyBC
Method: DFT, PBE-GGA
State: optimized geometry

Output
Density of states at the Fermi level = 1.1 states/eV per cell
E = -0.2675 Ha/atom
Calculated formation energy = -1.3 eV/f.u.
Energy relative to the lowest polymorph listed for this composition = 0 meV/atom
Spin magnetization = 0.00 μB/cell

Cell lengths 3.6097, 3.6184, 6.6402 Å; angles 85.75, 74.51, 90.00 degrees
Last column: nearest neighbours and their distance in Å.
Space group P-1 (No. 2)
Symmetry-distinct sites (fractional):
1 Dy 0.1501 0.2094 0.2013  5 C 2.39-2.58
2 B 0.4469 0.3556 0.6031  1 C 1.44
3 C 0.3354 0.2812 0.8276  1 B 1.44

=====

(15)
Material: DyBC
Method: DFT, PBE-GGA
State: optimized geometry

Output
Density of states at the Fermi level = 2.3 states/eV per cell
E = -0.2492 Ha/atom
Calculated formation energy = 0.2 eV/f.u.
Energy relative to the lowest polymorph listed for this composition = 497 meV/atom
Spin magnetization = 0.00 μB/cell

Cell lengths 3.7538, 3.7538, 6.4818 Å; angles 90.00, 90.00, 90.00 degrees
Last column: nearest neighbours and their distance in Å.
Space group I4mm (No. 107)
Symmetry-distinct sites (fractional):
1 Dy 0.0000 0.0000 0.0000  5 C 2.48-2.76, 5 B 2.61-2.73
2 B 0.0000 0.0000 0.4028  1 C 1.40
3 C 0.0000 0.0000 0.6181  1 B 1.40

=====

(16)
Material: DyB2C2
Method: DFT, PBE-GGA
State: optimized geometry

Output
Density of states at the Fermi level = 1.0 states/eV per cell
E = -0.2789 Ha/atom
Calculated formation energy = -1.5 eV/f.u.
Spin magnetization = 0.00 μB/cell

Cell lengths 3.7966, 3.7966, 7.2018 Å; angles 90.00, 90.00, 90.00 degrees
Last column: nearest neighbours and their distance in Å.
Space group P4_2/mmc (No. 131)
Symmetry-distinct sites (fractional):
1 Dy 0.0000 0.0000 0.2500  8 C 2.71, 8 B 2.74
2 B 0.2153 0.5000 0.0000  2 C 1.60, 1 B 1.63
3 C 0.1877 0.5000 0.5000  1 C 1.43

=====

(17)
Material: DyB2C2
Method: DFT, PBE-GGA
State: optimized geometry

Output
Density of states at the Fermi level = 2.1 states/eV per cell
E = -0.2841 Ha/atom
Calculated formation energy = -2.3 eV/f.u.
Spin magnetization = 0.00 μB/cell

Cell lengths 5.3533, 5.3533, 3.5648 Å; angles 90.00, 90.00, 90.00 degrees
Last column: nearest neighbours and their distance in Å.
Space group P4/mbm (No. 127)
Symmetry-distinct sites (fractional):
1 Dy 0.0000 0.0000 0.0000  8 C 2.68, 8 B 2.74
2 B 0.1368 0.3632 0.5000  3 C 1.52-1.60
3 C 0.1619 0.6619 0.5000  3 B 1.52-1.60

=====

(18)
Material: DyB2C
Method: DFT, PBE-GGA
State: optimized geometry

Output
Density of states at the Fermi level = 1.7 states/eV per cell
E = -0.2563 Ha/atom
Calculated formation energy = -0.7 eV/f.u.
Spin magnetization = 0.00 μB/cell

Cell lengths 4.3411, 3.0439, 6.2745 Å; angles 90.00, 99.39, 90.00 degrees
Last column: nearest neighbours and their distance in Å.
Space group P2_1/m (No. 11)
Symmetry-distinct sites (fractional):
1 Dy 0.0555 0.2500 0.2442  4 B 2.47-2.64, 4 C 2.68-2.73
2 B 0.3698 0.7500 0.5372  3 C 1.66-1.73
3 B 0.4926 0.2500 0.9341  1 C 1.65, 2 B 1.73
4 C 0.4319 0.2500 0.6678  4 B 1.65-1.73

=====

(19)
Material: DyBC
Method: DFT, PBE-GGA
State: optimized geometry

Output
Density of states at the Fermi level = 2.1 states/eV per cell
E = -0.2666 Ha/atom
Calculated formation energy = -1.3 eV/f.u.
Energy relative to the lowest polymorph listed for this composition = 25 meV/atom
Spin magnetization = 0.00 μB/cell

Cell lengths 7.0302, 3.4183, 6.4117 Å; angles 90.00, 90.00, 90.00 degrees
Last column: nearest neighbours and their distance in Å.
Space group Pnma (No. 62)
Symmetry-distinct sites (fractional):
1 Dy 0.1702 0.2500 0.1556  5 C 2.40-2.57
2 B 0.0237 0.2500 0.5728  1 C 1.48
3 C 0.0877 0.2500 0.7926  1 B 1.48

=====

(20)
Material: DyBC
Method: DFT, PBE-GGA
State: optimized geometry

Output
Density of states at the Fermi level = 6.0 states/eV per cell
E = -0.2555 Ha/atom
Calculated formation energy = -0.4 eV/f.u.
Energy relative to the lowest polymorph listed for this composition = 328 meV/atom
Spin magnetization = 0.00 μB/cell

Cell lengths 8.6751, 5.6168, 5.6202 Å; angles 90.00, 90.00, 90.00 degrees
Last column: nearest neighbours and their distance in Å.
Space group Cmce (No. 64)
Symmetry-distinct sites (fractional):
1 Dy 0.1867 0.0000 0.0000  4 C 2.66-2.68, 6 B 2.70-2.94
2 B 0.0000 0.1413 0.3591  3 C 1.61-1.68
3 C 0.0000 0.1550 0.6570  3 B 1.61-1.68